Density functional theory data (PBE) for a geometry-optimized Mn3IrPt structure.

Lattice parameters (Å, degrees): 4.7127 4.7127 4.7127 90.00 90.00 90.00
Last column: nearest neighbours and their distance in Å.
Sites, in units of the cell vectors:
Mn 0.0000 0.0000 0.5000  2 Ir 2.36
Mn 0.0000 0.5000 0.0000  2 Ir 2.36
Mn 0.5000 0.0000 0.0000  2 Ir 2.36
Ir 0.0000 0.0000 0.0000  6 Mn 2.36
Pt 0.5000 0.5000 0.5000  12 Mn 3.33

Values from the calculation:
Space group = Pm-3m
ΔE_f = 1043 meV per atom
E above lowest polymorph = 0 meV per atom
DOS(E_F) = 4.719 states/eV/f.u.